(1)
NbIn3W: optimized geometry, PBE-GGA.

Output
Space group: No. 221
Relative energy among the computed polymorphs (meV/atom): 0
Formation energy (meV per atom): 1322

Structure (POSCAR):
```
NbIn3W
1.0
5.220 0.000 0.000
0.000 5.220 0.000
0.000 0.000 5.220
W In Nb
1 3 1
Direct
0.000 0.000 0.000
0.000 0.000 0.500
0.000 0.500 0.000
0.500 0.000 0.000
0.500 0.500 0.500
```

---

(2)
Tb2SnRh: optimized geometry, PBE-GGA.

Output
Space group: No. 166
Formation energy (meV per atom): -599

Structure (POSCAR):
```
Tb2SnRh
1.0
-0.633 2.798 2.494
-2.556 2.702 -0.783
-7.059 -2.780 4.225
Tb Rh Sn
2 1 1
Direct
0.266 0.266 0.203
0.734 0.734 0.797
0.000 0.000 0.000
0.500 0.500 0.500
```

---

(3)
CeLuPuCd: optimized geometry, PBE-GGA.

Output
Space group: No. 216
Formation energy (meV per atom): 36

Structure (POSCAR):
```
CeLuPuCd
1.0
5.315 0.000 0.000
2.658 4.603 0.000
2.658 1.534 4.340
Ce Pu Cd Lu
1 1 1 1
Direct
0.000 0.000 0.000
0.250 0.250 0.250
0.750 0.750 0.750
0.500 0.500 0.500
```

---

(4)
Ce2FeAs4Pt3: optimized geometry, PBE-GGA.

Output
Space group: No. 115
Formation energy (meV per atom): -781

Structure (POSCAR):
```
Ce2FeAs4Pt3
1.0
-4.357 -0.343 -0.100
0.356 -4.271 -0.865
-0.067 -1.982 9.762
Pt Ce Fe As
3 2 1 4
Direct
0.000 0.500 0.127
0.000 0.000 0.500
0.500 0.000 0.873
0.000 0.500 0.743
0.500 0.000 0.257
0.500 0.500 0.500
0.500 0.500 0.000
0.000 0.000 0.000
0.000 0.500 0.374
0.500 0.000 0.626
```

---

Calculated total moment (μB/f.u.), listed in the same order as above: 2.306 0.000 8.719 2.535